Record 1
Density functional theory data (PBE) for Na4Ac3PtO8 after structural relaxation.

POSCAR file:
```
Na4Ac3PtO8
1.0
-5.9062 -1.9101 3.3495
2.4661 -6.2905 0.7612
4.0451 5.7846 3.0048
Na Ac Pt O
4 3 1 8
Cartesian
-2.9531 -0.9551 1.6748
-0.9305 1.9372 3.1772
0.0000 0.0000 0.0000
2.0225 2.8923 1.5024
-1.7200 -4.1003 2.0554
0.3025 -1.2080 3.5578
3.2556 -0.2529 1.8830
1.2331 -3.1452 0.3806
4.4483 0.8611 3.9387
2.6222 -1.9974 3.4847
1.3151 0.9722 2.8733
0.9523 -0.2696 5.9213
-0.3473 -2.1464 1.1942
-0.7101 -3.3882 4.2423
-2.0172 -0.4186 3.6309
-3.8433 -3.2771 3.1769
```

Calculated values
E_form (uncorrected) ... -2.07 eV per atom
Calculated total energy ... -0.4431 Ry/atom
Space-group type ... C2/m

---

Record 2
Density functional theory data (PBE) for NaAc2PtO5 after structural relaxation.

POSCAR file:
```
NaAc2PtO5
1.0
5.8934 0.0000 0.0000
0.0000 7.2485 0.0000
0.0000 0.0000 7.2485
Na Ac Pt O
2 4 2 10
Cartesian
0.0000 3.6243 3.6243
0.0000 0.0000 0.0000
2.9467 4.9354 1.3112
2.9467 1.3112 2.3131
2.9467 5.9374 4.9354
2.9467 2.3131 5.9374
0.0000 0.0000 3.6243
0.0000 3.6243 0.0000
2.9467 3.6243 3.6243
2.9467 0.0000 0.0000
1.4482 0.9573 4.5815
1.4482 6.2913 2.6670
1.4482 2.6670 0.9573
1.4482 4.5815 6.2913
4.4452 0.9573 4.5815
4.4452 4.5815 6.2913
4.4452 6.2913 2.6670
4.4452 2.6670 0.9573
```

Calculated values
E_form (uncorrected) ... -2.20 eV per atom
Calculated total energy ... -0.4912 Ry/atom
Space-group type ... P4/mbm

---

Record 3
Density functional theory data (PBE) for NaAcPtO after structural relaxation.

POSCAR file:
```
NaAcPtO
1.0
-1.1165 3.7250 -1.6711
-0.7703 -1.8936 -3.7062
-9.3861 -1.5767 2.7565
Na Ac Pt O
2 2 2 2
Cartesian
-4.6931 -0.7883 1.3782
-5.6365 0.1274 -1.3104
-8.5437 -2.3173 0.5429
-1.7859 1.6563 -0.4751
-7.1586 0.7538 1.1028
-3.1709 -1.4147 -1.0350
-0.9434 0.9157 -2.6887
0.0000 0.0000 0.0000
```

Calculated values
E_form (uncorrected) ... -1.57 eV per atom
Calculated total energy ... -0.4170 Ry/atom
Space-group type ... P4/nmm